Record 1
# CrAs3N

An optimized crystal structure of CrAs3N (PBEsol, Alexandria).

Structure (POSCAR):
```
CrAs3N
1.0
-3.8400 -1.7053 -1.5059
1.5222 0.2697 -4.1871
1.6908 -4.1159 0.3496
As Cr N
3 1 1
direct
0.0000 0.5000 0.0000 As
0.5000 0.0000 0.0000 As
0.0000 0.0000 0.5000 As
0.0000 0.0000 0.0000 Cr
0.5000 0.5000 0.5000 N
```

Calculated values
The density is 5.43 Mg/m³. The value obtained for the formation energy without anion corrections is 1.227 eV per atom. Its space group is Pm-3m. As for the size of the total moment: 0.1189 μB/atom.

***

Record 2
# CrAsS2N

An optimized crystal structure of CrAsS2N (PBEsol, Alexandria).

Structure (POSCAR):
```
CrAsS2N
1.0
-1.5848 -1.4953 2.7128
3.5786 -2.8645 0.5116
2.0135 3.0231 2.8426
S As N Cr
2 1 1 1
direct
0.0000 0.0000 0.5000 S
0.0000 0.5000 0.0000 S
0.5000 0.5000 0.5000 As
0.5000 0.0000 0.0000 N
0.0000 0.0000 0.0000 Cr
```

Calculated values
The density is 4.60 Mg/m³. The value obtained for the formation energy without anion corrections is 0.197 eV per atom. Its space group is P4/mmm. As for the size of the total moment: 0.1930 μB/atom.

***

DFT total energy? In order: -5.591; -6.332 eV/atom.